# DyCo2B2 (GGA-PBEsol, optimized geometry)
data_DyCo2B2
_chemical_formula_sum 'Dy2 Co4 B4'
_symmetry_space_group_name_H-M 'I 4/m m m'
_symmetry_Int_Tables_number 139
_symmetry_space_group_name_Hall '-I 4 2'
_cell_length_a 3.506
_cell_length_b 3.506
_cell_length_c 9.213
_cell_angle_alpha 90.00
_cell_angle_beta 90.00
_cell_angle_gamma 90.00
loop_
_atom_site_label
_atom_site_type_symbol
_atom_site_fract_x
_atom_site_fract_y
_atom_site_fract_z
Dy1 Dy 0.000 0.000 0.000
Co1 Co 0.000 0.500 0.250
B1 B 0.000 0.000 0.352
# DOS at the Fermi energy	0.32	states/eV/atom
# total DFT energy (no corrections)	-75.3	eV/cell


# Dy2Co7B3 (GGA-PBEsol, optimized geometry)
data_Dy2Co7B3
_chemical_formula_sum 'Dy4 Co14 B6'
_symmetry_space_group_name_H-M 'P 6/m m m'
_symmetry_Int_Tables_number 191
_symmetry_space_group_name_Hall '-P 6 2'
_cell_length_a 4.9322
_cell_length_b 4.9322
_cell_length_c 12.6550
_cell_angle_alpha 90.00
_cell_angle_beta 90.00
_cell_angle_gamma 120.00
loop_
_atom_site_label
_atom_site_type_symbol
_atom_site_fract_x
_atom_site_fract_y
_atom_site_fract_z
Dy1 Dy 0.0000 0.0000 0.0000
Dy2 Dy 0.0000 0.0000 0.2394
Dy3 Dy 0.0000 0.0000 0.5000
Co1 Co 0.0000 0.5000 0.1163
Co2 Co 0.0000 0.5000 0.3470
Co3 Co 0.3333 0.6667 0.5000
B1 B 0.3333 0.6667 0.0000
B2 B 0.3333 0.6667 0.2323
# DOS at the Fermi energy	0.90	states/eV/atom
# total DFT energy (no corrections)	-181.3	eV/cell


# DyCoB4 (GGA-PBEsol, optimized geometry)
data_DyCoB4
_chemical_formula_sum 'Dy4 Co4 B16'
_symmetry_space_group_name_H-M 'P b a m'
_symmetry_Int_Tables_number 55
_cell_length_a 5.858
_cell_length_b 11.348
_cell_length_c 3.328
_cell_angle_alpha 90.00
_cell_angle_beta 90.00
_cell_angle_gamma 90.00
loop_
_symmetry_equiv_pos_as_xyz
'x,y,z'
'-x,-y,-z'
'-x,-y,z'
'x,y,-z'
'x+1/2,-y+1/2,-z'
'-x+1/2,y+1/2,z'
'-x+1/2,y+1/2,-z'
'x+1/2,-y+1/2,z'
loop_
_atom_site_label
_atom_site_type_symbol
_atom_site_fract_x
_atom_site_fract_y
_atom_site_fract_z
Dy1 Dy 0.128 0.150 0.000
Co1 Co 0.134 0.411 0.000
B1 B 0.023 0.691 0.500
B2 B 0.111 0.546 0.500
B3 B 0.139 0.967 0.500
B4 B 0.218 0.815 0.500
# DOS at the Fermi energy	0.35	states/eV/atom
# total DFT energy (no corrections)	-179.0	eV/cell


# DyCo3B2 (GGA-PBEsol, optimized geometry)
data_DyCo3B2
_chemical_formula_sum 'Dy1 Co3 B2'
_symmetry_space_group_name_H-M 'P 6/m m m'
_symmetry_Int_Tables_number 191
_symmetry_space_group_name_Hall '-P 6 2'
_cell_length_a 4.9341
_cell_length_b 4.9341
_cell_length_c 2.9797
_cell_angle_alpha 90.00
_cell_angle_beta 90.00
_cell_angle_gamma 120.00
loop_
_atom_site_label
_atom_site_type_symbol
_atom_site_fract_x
_atom_site_fract_y
_atom_site_fract_z
Dy1 Dy 0.0000 0.0000 0.0000
Co1 Co 0.0000 0.5000 0.5000
B1 B 0.3333 0.6667 0.0000
# DOS at the Fermi energy	0.61	states/eV/atom
# total DFT energy (no corrections)	-45.7	eV/cell


# DyCo12B6 (GGA-PBEsol, optimized geometry)
data_DyCo12B6
_chemical_formula_sum 'Dy3 Co36 B18'
_symmetry_space_group_name_H-M 'R -3 m'
_symmetry_Int_Tables_number 166
_symmetry_space_group_name_Hall '-R 3 2"'
_cell_length_a 9.2627
_cell_length_b 9.2627
_cell_length_c 7.3017
_cell_angle_alpha 90.00
_cell_angle_beta 90.00
_cell_angle_gamma 120.00
loop_
_atom_site_label
_atom_site_type_symbol
_atom_site_fract_x
_atom_site_fract_y
_atom_site_fract_z
Dy1 Dy 0.0000 0.0000 0.0000
Co1 Co 0.0000 0.3679 0.5000
Co2 Co 0.0898 0.1796 0.3655
B1 B 0.0359 0.5180 0.2847
# DOS at the Fermi energy	0.69	states/eV/atom
# total DFT energy (no corrections)	-443.3	eV/cell


# DyCo4B (GGA-PBEsol, optimized geometry)
data_DyCo4B
_chemical_formula_sum 'Dy2 Co8 B2'
_symmetry_space_group_name_H-M 'P 6/m m m'
_symmetry_Int_Tables_number 191
_symmetry_space_group_name_Hall '-P 6 2'
_cell_length_a 4.9135
_cell_length_b 4.9135
_cell_length_c 6.7513
_cell_angle_alpha 90.00
_cell_angle_beta 90.00
_cell_angle_gamma 120.00
loop_
_atom_site_label
_atom_site_type_symbol
_atom_site_fract_x
_atom_site_fract_y
_atom_site_fract_z
Dy1 Dy 0.0000 0.0000 0.0000
Dy2 Dy 0.0000 0.0000 0.5000
Co1 Co 0.0000 0.5000 0.2139
Co2 Co 0.3333 0.6667 0.5000
B1 B 0.3333 0.6667 0.0000
# DOS at the Fermi energy	1.29	states/eV/atom
# total DFT energy (no corrections)	-89.9	eV/cell